(1)
First-principles (GGA-PBEsol) data for a geometry-optimized LiAu2 structure, as listed in Alexandria.

abc: 5.388 5.388 6.827
angles: 106.77 106.77 30.17
Fractional positions:
Li1 0.184 0.184 0.156
Li2 0.816 0.816 0.844
Au1 0.142 0.142 0.536
Au2 0.457 0.457 0.174
Au3 0.543 0.543 0.826
Au4 0.858 0.858 0.464

Output
formation energy from the elements = -0.35 eV per atom
SG = No. 12
D(E_F) = 0.320 states/eV per atom

---

(2)
First-principles (GGA-PBEsol) data for a geometry-optimized TeAs2Pb structure, as listed in Alexandria.

abc: 5.061 5.061 3.618
angles: 90.00 90.00 90.00
Fractional positions:
Te1 0.000 0.000 0.000
As1 0.000 0.500 0.500
As2 0.500 0.000 0.500
Pb1 0.500 0.500 0.000

Output
distance to the lowest polymorph of the same formula = 61.9 kJ/mol of formula units
SG = No. 123
D(E_F) = 0.658 states/eV per atom
energy relative to the elements, uncorrected = 0.256 eV/atom

---

(3)
First-principles (GGA-PBEsol) data for a geometry-optimized YOsPd2N structure, as listed in Alexandria.

abc: 4.947 4.947 3.976
angles: 90.00 90.00 90.00
Fractional positions:
Y1 0.000 0.000 0.000
Os1 0.500 0.500 0.500
Pd1 0.000 0.500 0.000
Pd2 0.500 0.000 0.000
N1 0.000 0.000 0.500

Output
SG = No. 123
D(E_F) = 0.883 states/eV per atom
energy relative to the elements, uncorrected = 1.734 eV/atom

---

(4)
First-principles (GGA-PBEsol) data for a geometry-optimized LaBeNb3 structure, as listed in Alexandria.

abc: 4.611 4.611 4.611
angles: 90.00 90.00 90.00
Fractional positions:
La1 0.000 0.000 0.000
Be1 0.500 0.500 0.500
Nb1 0.000 0.500 0.500
Nb2 0.500 0.000 0.500
Nb3 0.500 0.500 0.000

Output
formation energy from the elements = 0.72 eV per atom
SG = No. 221
D(E_F) = 1.850 states/eV per atom

---

(5)
First-principles (GGA-PBEsol) data for a geometry-optimized CaReBr2 structure, as listed in Alexandria.

abc: 3.258 3.258 8.408
angles: 90.00 90.00 90.00
Fractional positions:
Ca1 0.000 0.000 0.000
Re1 0.500 0.500 0.277
Br1 0.000 0.000 0.415
Br2 0.500 0.500 0.792

Output
distance to the lowest polymorph of the same formula = 0.0 kJ/mol of formula units
SG = No. 99
D(E_F) = 0.312 states/eV per atom
energy relative to the elements, uncorrected = -0.071 eV/atom

---

(6)
First-principles (GGA-PBEsol) data for a geometry-optimized KSnTeI2 structure, as listed in Alexandria.

abc: 6.067 6.067 5.663
angles: 90.00 90.00 90.00
Fractional positions:
K1 0.000 0.000 0.000
Sn1 0.500 0.500 0.500
Te1 0.500 0.500 0.000
I1 0.000 0.500 0.500
I2 0.500 0.000 0.500

Output
SG = No. 123
D(E_F) = 0.833 states/eV per atom
energy relative to the elements, uncorrected = -0.546 eV/atom

---

(7)
First-principles (GGA-PBEsol) data for a geometry-optimized La3Cu structure, as listed in Alexandria.

abc: 6.509 6.509 6.509
angles: 147.38 129.72 61.22
Fractional positions:
La1 0.000 0.000 0.000
La2 0.289 0.789 0.500
La3 0.711 0.211 0.500
Cu1 0.500 0.500 0.000

Output
formation energy from the elements = 0.01 eV per atom
SG = No. 71
D(E_F) = 1.373 states/eV per atom

---

(8)
First-principles (GGA-PBEsol) data for a geometry-optimized OsRh3 structure, as listed in Alexandria.

abc: 2.675 2.675 7.595
angles: 90.00 90.00 90.00
Fractional positions:
Os1 0.000 0.000 0.000
Rh1 0.000 0.000 0.500
Rh2 0.500 0.500 0.247
Rh3 0.500 0.500 0.753

Output
formation energy from the elements = 0.02 eV per atom
SG = No. 123
D(E_F) = 1.167 states/eV per atom

---

Which of these has the highest D(E_F)?
LaBeNb3